Record 1
## LiTe (GGA-PBE)

Data for crystalline LiTe at its relaxed geometry.

Results
Spin magnetization, μB per cell: 0.00
Energy, eV for the cell shown: -12.540

Lattice parameters (Å, degrees): 4.922 4.931 5.295 90.00 90.00 125.24
Atoms (fractional coordinates):
Te 0.735 0.765 0.250
Te 0.265 0.235 0.750
Li 0.417 0.084 0.250
Li 0.583 0.916 0.750

---

Record 2
## Ac6HgIrPt2 (GGA-PBE)

Data for crystalline Ac6HgIrPt2 at its relaxed geometry.

Results
Spin magnetization, μB per cell: 0.00
Formation enthalpy at 0 K, eV per atom: -0.7089
Energy, eV for the cell shown: -52.984

Lattice parameters (Å, degrees): 7.789 7.788 8.409 62.44 62.43 60.02
Atoms (fractional coordinates):
Ac 0.585 0.257 0.236
Ac 0.257 0.922 0.236
Ac 0.922 0.586 0.236
Ac 0.377 0.733 0.757
Ac 0.733 0.133 0.757
Ac 0.133 0.377 0.757
Hg 0.819 0.819 0.542
Ir 0.327 0.327 0.020
Pt 0.509 0.509 0.472
Pt 0.999 0.999 0.002

---

Question: Look up the spin magnetization of the second one.
Answer: 0.00 μB per cell